NaLi5Au6 PBE optimized geometry; magnetic moment = 0.00 μB per cell; uncorrected energy = -0.2216 Ry/atom; formation energy from the elements = -469 meV per atom
1.0
4.442 0.000 0.000
0.000 6.687 0.000
-1.340 0.000 6.632
Na Li Au
1 5 6
direct
0.000 0.000 0.000 Na
0.000 0.500 0.000 Li
0.321 0.500 0.669 Li
0.328 0.000 0.666 Li
0.672 0.000 0.334 Li
0.679 0.500 0.331 Li
0.186 0.262 0.346 Au
0.186 0.738 0.346 Au
0.500 0.274 0.000 Au
0.500 0.726 0.000 Au
0.814 0.262 0.654 Au
0.814 0.738 0.654 Au